A geometry-optimized La5Ir structure, computed with PBE-GGA.

```
data_La5Ir
_chemical_formula_sum 'La10 Ir2'
_symmetry_space_group_name_H-M 'A m m 2'
_symmetry_Int_Tables_number 38
_symmetry_space_group_name_Hall 'A 2 -2'
_cell_length_a 5.947
_cell_length_b 3.902
_cell_length_c 17.032
_cell_angle_alpha 90.00
_cell_angle_beta 90.00
_cell_angle_gamma 90.00
loop_
_atom_site_label
_atom_site_type_symbol
_atom_site_fract_x
_atom_site_fract_y
_atom_site_fract_z
La1 La 0.000 0.000 0.000
La2 La 0.000 0.000 0.246
La3 La 0.500 0.000 0.159
La4 La 0.500 0.000 0.512
La5 La 0.500 0.000 0.837
Ir1 Ir 0.000 0.000 0.619
```

Results
The value obtained for the density of states at the Fermi level is 7.7 states/eV/f.u. The volume comes out at 395.3 Å³ per cell. For the energy, the calculation gives -68.8 eV for the cell shown. The formation energy comes out at -0.88 eV/f.u.

---

A geometry-optimized CaLu2Ga structure, computed with PBE-GGA.

```
data_CaLu2Ga
_chemical_formula_sum 'Ca3 Lu6 Ga3'
_symmetry_space_group_name_H-M 'R -3 m'
_symmetry_Int_Tables_number 166
_symmetry_space_group_name_Hall '-R 3 2"'
_cell_length_a 3.5337
_cell_length_b 3.5337
_cell_length_c 32.7993
_cell_angle_alpha 90.00
_cell_angle_beta 90.00
_cell_angle_gamma 120.00
loop_
_atom_site_label
_atom_site_type_symbol
_atom_site_fract_x
_atom_site_fract_y
_atom_site_fract_z
Ca1 Ca 0.0000 0.0000 0.0000
Lu1 Lu 0.0000 0.0000 0.1024
Ga1 Ga 0.0000 0.0000 0.5000
```

Results
The value obtained for the density of states at the Fermi level is 4.1 states/eV/f.u. The volume comes out at 354.7 Å³ per cell. For the energy, the calculation gives -42.4 eV for the cell shown. The formation energy comes out at -0.07 eV/f.u.

---

A geometry-optimized NaH2Cl structure, computed with PBE-GGA.

```
data_NaH2Cl
_chemical_formula_sum 'Na4 H8 Cl4'
_symmetry_space_group_name_H-M 'C m c m'
_symmetry_Int_Tables_number 63
_symmetry_space_group_name_Hall '-C 2c 2'
_cell_length_a 4.363
_cell_length_b 11.901
_cell_length_c 5.329
_cell_angle_alpha 90.00
_cell_angle_beta 90.00
_cell_angle_gamma 90.00
loop_
_atom_site_label
_atom_site_type_symbol
_atom_site_fract_x
_atom_site_fract_y
_atom_site_fract_z
Na1 Na 0.000 0.196 0.250
H1 H 0.000 0.441 0.679
Cl1 Cl 0.000 0.161 0.750
```

Results
The value obtained for the density of states at the Fermi level is 0.0 states/eV/f.u. The volume comes out at 276.7 Å³ per cell. For the energy, the calculation gives -53.1 eV for the cell shown.

---

A geometry-optimized TbGdS2 structure, computed with PBE-GGA.

```
data_TbGdS2
_chemical_formula_sum 'Tb3 Gd3 S6'
_symmetry_space_group_name_H-M 'R -3 m'
_symmetry_Int_Tables_number 166
_symmetry_space_group_name_Hall '-R 3 2"'
_cell_length_a 3.9495
_cell_length_b 3.9495
_cell_length_c 19.2734
_cell_angle_alpha 90.00
_cell_angle_beta 90.00
_cell_angle_gamma 120.00
loop_
_atom_site_label
_atom_site_type_symbol
_atom_site_fract_x
_atom_site_fract_y
_atom_site_fract_z
Tb1 Tb 0.0000 0.0000 0.0000
Gd1 Gd 0.0000 0.0000 0.5000
S1 S 0.0000 0.0000 0.2508
```

Results
The value obtained for the density of states at the Fermi level is 1.8 states/eV/f.u. The calculation puts the formation energy (no corrections) at -8.2 eV/f.u. The volume comes out at 260.4 Å³ per cell. For the energy, the calculation gives -105.4 eV for the cell shown.

---

A geometry-optimized SrHf2InRh structure, computed with PBE-GGA.

```
data_SrHf2InRh
_chemical_formula_sum 'Sr1 Hf2 In1 Rh1'
_symmetry_space_group_name_H-M 'P 4/m m m'
_symmetry_Int_Tables_number 123
_symmetry_space_group_name_Hall '-P 4 2'
_cell_length_a 5.224
_cell_length_b 5.224
_cell_length_c 4.824
_cell_angle_alpha 90.00
_cell_angle_beta 90.00
_cell_angle_gamma 90.00
loop_
_atom_site_label
_atom_site_type_symbol
_atom_site_fract_x
_atom_site_fract_y
_atom_site_fract_z
Sr1 Sr 0.000 0.000 0.000
Hf1 Hf 0.000 0.500 0.000
In1 In 0.500 0.500 0.500
Rh1 Rh 0.000 0.000 0.500
```

Results
The value obtained for the density of states at the Fermi level is 5.2 states/eV/f.u. The volume comes out at 131.6 Å³ per cell. For the energy, the calculation gives -23.0 eV for the cell shown. The formation energy comes out at 8.65 eV/f.u.

---

A geometry-optimized CaTlTe2 structure, computed with PBE-GGA.

```
data_CaTlTe2
_chemical_formula_sum 'Ca2 Tl2 Te4'
_symmetry_space_group_name_H-M 'I 4/m m m'
_symmetry_Int_Tables_number 139
_symmetry_space_group_name_Hall '-I 4 2'
_cell_length_a 6.025
_cell_length_b 6.025
_cell_length_c 6.857
_cell_angle_alpha 90.00
_cell_angle_beta 90.00
_cell_angle_gamma 90.00
loop_
_atom_site_label
_atom_site_type_symbol
_atom_site_fract_x
_atom_site_fract_y
_atom_site_fract_z
Ca1 Ca 0.000 0.000 0.000
Tl1 Tl 0.000 0.000 0.500
Te1 Te 0.000 0.500 0.250
```

Results
The value obtained for the density of states at the Fermi level is 0.3 states/eV/f.u. The calculation puts the formation energy (no corrections) at -3.1 eV/f.u. The volume comes out at 248.9 Å³ per cell. For the energy, the calculation gives -27.4 eV for the cell shown.

---

A geometry-optimized Cd6RhAu5 structure, computed with PBE-GGA.

```
data_Cd6RhAu5
_chemical_formula_sum 'Cd6 Rh1 Au5'
_symmetry_space_group_name_H-M 'P 1 2/m 1'
_symmetry_Int_Tables_number 10
_symmetry_space_group_name_Hall '-P 2y'
_cell_length_a 4.462
_cell_length_b 7.570
_cell_length_c 7.020
_cell_angle_alpha 90.00
_cell_angle_beta 106.24
_cell_angle_gamma 90.00
loop_
_atom_site_label
_atom_site_type_symbol
_atom_site_fract_x
_atom_site_fract_y
_atom_site_fract_z
Cd1 Cd 0.000 0.245 0.000
Cd2 Cd 0.340 0.246 0.675
Rh1 Rh 0.500 0.000 0.000
Au1 Au 0.162 0.000 0.331
Au2 Au 0.169 0.500 0.341
Au3 Au 0.500 0.500 0.000
```

Results
The value obtained for the density of states at the Fermi level is 3.4 states/eV/f.u. The volume comes out at 227.7 Å³ per cell. For the energy, the calculation gives -31.1 eV for the cell shown. The formation energy comes out at -1.90 eV/f.u.

---

A geometry-optimized PmNd9Er2 structure, computed with PBE-GGA.

```
data_PmNd9Er2
_chemical_formula_sum 'Pm1 Nd9 Er2'
_symmetry_space_group_name_H-M 'P 4/m m m'
_symmetry_Int_Tables_number 123
_symmetry_space_group_name_Hall '-P 4 2'
_cell_length_a 5.159
_cell_length_b 5.159
_cell_length_c 15.478
_cell_angle_alpha 90.00
_cell_angle_beta 90.00
_cell_angle_gamma 90.00
loop_
_atom_site_label
_atom_site_type_symbol
_atom_site_fract_x
_atom_site_fract_y
_atom_site_fract_z
Pm1 Pm 0.000 0.000 0.000
Nd1 Nd 0.000 0.500 0.169
Nd2 Nd 0.000 0.500 0.500
Nd3 Nd 0.500 0.500 0.000
Nd4 Nd 0.500 0.500 0.335
Er1 Er 0.000 0.000 0.334
```

Results
The value obtained for the density of states at the Fermi level is 20.3 states/eV/f.u. The volume comes out at 412.0 Å³ per cell. For the energy, the calculation gives -56.6 eV for the cell shown. The formation energy comes out at 0.19 eV/f.u.

---

A geometry-optimized AgI structure, computed with PBE-GGA.

```
data_AgI
_chemical_formula_sum 'Ag4 I4'
_symmetry_space_group_name_H-M 'P -1'
_symmetry_Int_Tables_number 2
_symmetry_space_group_name_Hall '-P 1'
_cell_length_a 4.603
_cell_length_b 8.408
_cell_length_c 8.636
_cell_angle_alpha 116.42
_cell_angle_beta 98.10
_cell_angle_gamma 98.70
loop_
_atom_site_label
_atom_site_type_symbol
_atom_site_fract_x
_atom_site_fract_y
_atom_site_fract_z
Ag1 Ag 0.122 0.010 0.352
Ag2 Ag 0.259 0.645 0.144
I1 I 0.252 0.250 0.995
I2 I 0.286 0.758 0.513
```

Results
The value obtained for the density of states at the Fermi level is 0.0 states/eV/f.u. The calculation puts the formation energy (no corrections) at -0.5 eV/f.u. The volume comes out at 287.5 Å³ per cell. For the energy, the calculation gives -19.4 eV for the cell shown.

---

A geometry-optimized KSc2Se structure, computed with PBE-GGA.

```
data_KSc2Se
_chemical_formula_sum 'K2 Sc4 Se2'
_symmetry_space_group_name_H-M 'I m m m'
_symmetry_Int_Tables_number 71
_symmetry_space_group_name_Hall '-I 2 2'
_cell_length_a 3.460
_cell_length_b 5.625
_cell_length_c 11.432
_cell_angle_alpha 90.00
_cell_angle_beta 90.00
_cell_angle_gamma 90.00
loop_
_atom_site_label
_atom_site_type_symbol
_atom_site_fract_x
_atom_site_fract_y
_atom_site_fract_z
K1 K 0.000 0.000 0.000
Sc1 Sc 0.000 0.500 0.187
Se1 Se 0.000 0.000 0.500
```

Results
The value obtained for the density of states at the Fermi level is 5.0 states/eV/f.u. The calculation puts the formation energy (no corrections) at -1.7 eV/f.u. The volume comes out at 222.5 Å³ per cell. For the energy, the calculation gives -37.8 eV for the cell shown.

---

A geometry-optimized Hf4AsRh structure, computed with PBE-GGA.

```
data_Hf4AsRh
_chemical_formula_sum 'Hf16 As4 Rh4'
_symmetry_space_group_name_H-M 'C 1 2/c 1'
_symmetry_Int_Tables_number 15
_symmetry_space_group_name_Hall '-C 2yc'
_cell_length_a 7.809
_cell_length_b 13.248
_cell_length_c 6.132
_cell_angle_alpha 90.00
_cell_angle_beta 124.51
_cell_angle_gamma 90.00
loop_
_atom_site_label
_atom_site_type_symbol
_atom_site_fract_x
_atom_site_fract_y
_atom_site_fract_z
Hf1 Hf 0.112 0.209 0.073
Hf2 Hf 0.212 0.445 0.237
As1 As 0.000 0.058 0.250
Rh1 Rh 0.000 0.384 0.750
```

Results
The value obtained for the density of states at the Fermi level is 4.6 states/eV/f.u. The volume comes out at 522.7 Å³ per cell. For the energy, the calculation gives -216.3 eV for the cell shown. The formation energy comes out at -2.27 eV/f.u.

---

A geometry-optimized Pm2ZnSiPt6 structure, computed with PBE-GGA.

```
data_Pm2ZnSiPt6
_chemical_formula_sum 'Pm8 Zn4 Si4 Pt24'
_symmetry_space_group_name_H-M 'F m -3 m'
_symmetry_Int_Tables_number 225
_symmetry_space_group_name_Hall '-F 4 2 3'
_cell_length_a 9.328
_cell_length_b 9.328
_cell_length_c 9.328
_cell_angle_alpha 90.00
_cell_angle_beta 90.00
_cell_angle_gamma 90.00
loop_
_atom_site_label
_atom_site_type_symbol
_atom_site_fract_x
_atom_site_fract_y
_atom_site_fract_z
Pm1 Pm 0.250 0.250 0.250
Zn1 Zn 0.000 0.000 0.000
Si1 Si 0.000 0.000 0.500
Pt1 Pt 0.000 0.000 0.256
```

Results
The value obtained for the density of states at the Fermi level is 4.8 states/eV/f.u. The calculation puts the formation energy (no corrections) at -5.4 eV/f.u. The volume comes out at 811.6 Å³ per cell. For the energy, the calculation gives -231.6 eV for the cell shown.